Compound: SnBN2F
Source: Alexandria
Functional: PBE
Structure: relaxed

## Properties
Energy relative to the lowest polymorph listed for this composition ... 1064 meV/atom
Uncorrected formation energy ... 1.374 eV/atom
Crystal system ... tetragonal
N(E_F) ... 0.391 states/eV per atom

```
5
Lattice="4.168 0.000 0.000 0.000 4.168 0.000 0.000 0.000 4.174" Properties=species:S:1:pos:R:3 pbc="T T T"
Sn 0.000 0.000 0.000
B 2.084 2.084 2.087
N 0.000 2.084 0.000
N 2.084 0.000 0.000
F 0.000 0.000 2.087
```